Material: KTi6O12
Method: DFT, PBE
State: optimized geometry

Calculated volume ... 10.75 A^3/atom
Final energy ... -8.29 eV/atom
Raw formation energy ... -2.612 eV per atom

The structure in POSCAR format:
```
KTi6O12
1.0
4.886 2.821 2.469
-4.886 2.821 2.469
0.000 -5.642 2.469
K Ti O
1 6 12
Direct
0.000 0.000 0.000 K
0.239 0.239 0.619 Ti
0.239 0.619 0.239 Ti
0.381 0.761 0.761 Ti
0.619 0.239 0.239 Ti
0.761 0.381 0.761 Ti
0.761 0.761 0.381 Ti
0.124 0.500 0.876 O
0.124 0.876 0.500 O
0.185 0.452 0.452 O
0.452 0.185 0.452 O
0.452 0.452 0.185 O
0.500 0.124 0.876 O
0.500 0.876 0.124 O
0.548 0.548 0.815 O
0.548 0.815 0.548 O
0.815 0.548 0.548 O
0.876 0.124 0.500 O
0.876 0.500 0.124 O
```